# 1
Density functional theory data (PBE-GGA) for an optimized crystal structure of Cs6RbNa12.

Cell lengths 11.7403, 11.7403, 11.7403 Å; angles 111.10, 111.10, 111.10 degrees
Closest atoms and distances in Å follow each position.
Fractional positions:
1 Cs 0.0710 0.5178 0.3464  6 Na 4.18-4.40, 1 Cs 4.57
2 Cs 0.3464 0.0710 0.5178  6 Na 4.18-4.40, 1 Cs 4.57
3 Cs 0.4822 0.6536 0.9290  6 Na 4.18-4.40, 1 Cs 4.57
4 Cs 0.5178 0.3464 0.0710  6 Na 4.18-4.40, 1 Cs 4.57
5 Cs 0.6536 0.9290 0.4822  6 Na 4.18-4.40, 1 Cs 4.57
6 Cs 0.9290 0.4822 0.6536  6 Na 4.18-4.40, 1 Cs 4.57
7 Rb 0.5000 0.5000 0.5000  6 Cs 4.81, 6 Na 5.01
8 Na 0.0194 0.9077 0.7334  5 Na 3.70-3.84
9 Na 0.0923 0.2666 0.9806  5 Na 3.70-3.84
10 Na 0.0980 0.2034 0.6479  4 Na 3.70-3.84
11 Na 0.2034 0.6479 0.0980  4 Na 3.70-3.84
12 Na 0.2666 0.9806 0.0923  5 Na 3.70-3.84
13 Na 0.3521 0.9020 0.7966  4 Na 3.70-3.84
14 Na 0.6479 0.0980 0.2034  4 Na 3.70-3.84
15 Na 0.7334 0.0194 0.9077  5 Na 3.70-3.84
16 Na 0.7966 0.3521 0.9020  4 Na 3.70-3.84
17 Na 0.9020 0.7966 0.3521  4 Na 3.70-3.84
18 Na 0.9077 0.7334 0.0194  5 Na 3.70-3.84
19 Na 0.9806 0.0923 0.2666  5 Na 3.70-3.84

The value obtained for the density of states at the Fermi level is 10.9 states/eV per cell. As for the magnetic moment: 0.000 μB/cell. The energy of formation from the pure elements is 52 meV per atom.

# 2
Density functional theory data (PBE-GGA) for an optimized crystal structure of Cs4Rb3Na5.

Cell lengths 9.6935, 9.6935, 16.7197 Å; angles 119.40, 119.40, 44.94 degrees
Closest atoms and distances in Å follow each position.
Fractional positions:
1 Cs 0.0383 0.0383 0.3342  5 Na 4.24-4.54
2 Cs 0.2676 0.2676 0.7223  4 Na 4.28-4.76
3 Cs 0.7324 0.7324 0.2777  4 Na 4.28-4.76
4 Cs 0.9617 0.9617 0.6658  5 Na 4.24-4.54
5 Rb 0.0000 0.0000 0.0000  2 Na 3.70
6 Rb 0.3268 0.3268 0.0948  2 Na 4.07-4.17
7 Rb 0.6732 0.6732 0.9052  2 Na 4.07-4.17
8 Na 0.3176 0.3176 0.4976  2 Na 3.50-3.85
9 Na 0.4294 0.4294 0.3779  3 Na 3.48-3.85
10 Na 0.5000 0.5000 0.0000  2 Rb 3.70
11 Na 0.5706 0.5706 0.6221  3 Na 3.48-3.85
12 Na 0.6824 0.6824 0.5024  2 Na 3.50-3.85

The value obtained for the density of states at the Fermi level is 9.1 states/eV per cell. As for the magnetic moment: 0.000 μB/cell. The energy of formation from the pure elements is 59 meV per atom.

# 3
Density functional theory data (PBE-GGA) for an optimized crystal structure of Cs5Rb2Na4.

Cell lengths 9.6432, 9.6432, 12.4361 Å; angles 114.29, 114.29, 60.56 degrees
Closest atoms and distances in Å follow each position.
Fractional positions:
1 Cs 0.0000 0.0000 0.0000  4 Na 4.17-4.20
2 Cs 0.0649 0.5418 0.3392  4 Na 4.34-4.83, 1 Cs 4.64
3 Cs 0.4582 0.9351 0.6608  4 Na 4.34-4.83, 1 Cs 4.64
4 Cs 0.5418 0.0649 0.3392  4 Na 4.34-4.83, 1 Cs 4.64
5 Cs 0.9351 0.4582 0.6608  4 Na 4.34-4.83, 1 Cs 4.64
6 Rb 0.4876 0.4876 0.7941  1 Na 4.08
7 Rb 0.5124 0.5124 0.2059  1 Na 4.08
8 Na 0.0229 0.0229 0.3486  5 Cs 4.17-4.41, 2 Na 4.18-4.25
9 Na 0.2393 0.2393 0.9661  1 Rb 4.08, 3 Cs 4.20-4.34, 1 Na 4.25
10 Na 0.7607 0.7607 0.0339  1 Rb 4.08, 3 Cs 4.20-4.34, 1 Na 4.25
11 Na 0.9771 0.9771 0.6514  5 Cs 4.17-4.41, 2 Na 4.18-4.25

The value obtained for the density of states at the Fermi level is 9.4 states/eV per cell. As for the magnetic moment: 0.000 μB/cell. The energy of formation from the pure elements is 54 meV per atom.

Question: Look up the magnetic moment of the third one.
Answer: 0.000 μB/cell

Question: What is the energy of formation from the pure elements in the third record?
Answer: 54 meV per atom